LaTaCd2: optimized geometry, PBE.

* relative energy among the computed polymorphs: 0.50 eV per formula unit
* formation energy: 0.2651 eV per atom
* calculated total energy: -4.39 eV per atom
* symmetry: Immm

The structure in POSCAR format:
```
LaTaCd2
1.0
6.430 -0.005 0.010
3.554 5.359 -0.010
-4.387 -3.805 2.761
La Cd Ta
1 2 1
direct
0.750 0.250 0.500
0.028 0.028 0.000
0.472 0.472 0.000
0.250 0.750 0.500
```

LaTa2Cd: optimized geometry, PBE.

* formation energy: 0.4430 eV per atom
* calculated total energy: -6.94 eV per atom
* symmetry: C2/m

The structure in POSCAR format:
```
LaTa2Cd
1.0
-4.808 -2.478 1.217
-4.480 -2.704 -1.831
1.638 -5.256 0.567
Cd Ta La
1 2 1
direct
0.750 0.750 0.750
0.486 0.486 0.533
0.014 0.014 0.967
0.250 0.250 0.250
```

LaTa2Cd: optimized geometry, PBE.

* formation energy: 0.5016 eV per atom
* calculated total energy: -6.89 eV per atom
* symmetry: P4/mmm

The structure in POSCAR format:
```
LaTa2Cd
1.0
2.937 0.004 0.000
-0.007 2.937 0.000
0.000 0.000 10.054
Cd Ta La
1 2 1
direct
0.500 0.500 0.250
0.000 0.000 0.022
0.000 0.000 0.478
0.500 0.500 0.750
```

LaTa2Cd: optimized geometry, PBE.

* formation energy: 0.4909 eV per atom
* calculated total energy: -6.90 eV per atom
* symmetry: P2/m

The structure in POSCAR format:
```
LaTa2Cd
1.0
3.091 0.000 0.000
0.000 5.483 0.040
0.000 3.778 5.196
Ta Cd La
2 1 1
direct
0.000 0.000 0.000
0.500 0.500 0.000
0.500 0.500 0.500
0.000 0.000 0.500
```

LaTa2Cd: optimized geometry, PBE.

* formation energy: 0.2402 eV per atom
* calculated total energy: -7.15 eV per atom
* symmetry: Cmm2

The structure in POSCAR format:
```
LaTa2Cd
1.0
-2.003 1.401 -1.782
-1.393 -1.414 2.283
0.827 8.600 5.831
Ta La Cd
2 1 1
direct
0.000 0.000 0.032
0.500 0.500 0.235
0.500 0.500 0.760
0.000 0.000 0.472
```

LaTa2Cd: optimized geometry, PBE.

* formation energy: 0.5053 eV per atom
* calculated total energy: -6.88 eV per atom
* symmetry: Pmmm

The structure in POSCAR format:
```
LaTa2Cd
1.0
-2.281 -1.653 -1.379
3.063 -4.387 0.192
-2.008 -1.194 4.754
Ta La Cd
2 1 1
direct
0.500 0.500 0.000
0.000 0.000 0.000
0.000 0.500 0.500
0.500 0.000 0.500
```

LaTaCd2: optimized geometry, PBE.

* relative energy among the computed polymorphs: 0.56 eV per formula unit
* formation energy: 0.2791 eV per atom
* calculated total energy: -4.37 eV per atom
* symmetry: Cm

The structure in POSCAR format:
```
LaTaCd2
1.0
-4.396 -1.779 3.451
-1.762 -2.557 4.975
-1.068 3.987 3.882
Cd La Ta
2 1 1
direct
0.017 0.017 0.043
0.265 0.265 0.190
0.485 0.485 0.563
0.733 0.733 0.703
```

LaTaCd: optimized geometry, PBE.

* relative energy among the computed polymorphs: 3.12 eV per formula unit
* formation energy: 1.3147 eV per atom
* calculated total energy: -4.58 eV per atom
* symmetry: F-43m

The structure in POSCAR format:
```
LaTaCd
1.0
5.072 0.000 0.000
2.536 4.392 0.000
2.536 1.464 4.141
Ta Cd La
1 1 1
direct
0.000 0.000 0.000
0.500 0.500 0.500
0.750 0.750 0.750
```

LaTa2Cd: optimized geometry, PBE.

* formation energy: 0.5990 eV per atom
* calculated total energy: -6.79 eV per atom
* symmetry: R-3m

The structure in POSCAR format:
```
LaTa2Cd
1.0
11.123 -0.025 -0.015
10.714 2.985 -0.015
10.714 1.453 2.608
Ta La Cd
2 1 1
direct
0.507 0.507 0.507
0.993 0.993 0.993
0.750 0.750 0.750
0.250 0.250 0.250
```

La2TaCd: optimized geometry, PBE.

* formation energy: 0.2500 eV per atom
* calculated total energy: -5.41 eV per atom
* symmetry: P4mm

The structure in POSCAR format:
```
La2TaCd
1.0
-1.190 2.992 0.046
-2.916 -1.170 0.708
2.162 0.706 10.074
Ta La Cd
1 2 1
direct
0.000 0.000 0.525
0.000 0.000 0.962
0.500 0.500 0.294
0.500 0.500 0.719
```

LaTaCd2: optimized geometry, PBE.

* relative energy among the computed polymorphs: 0.58 eV per formula unit
* formation energy: 0.2849 eV per atom
* calculated total energy: -4.37 eV per atom
* symmetry: I4/mmm

The structure in POSCAR format:
```
LaTaCd2
1.0
-1.253 -1.579 -5.252
-4.363 -3.550 -0.053
0.806 5.028 2.389
Cd Ta La
2 1 1
direct
0.500 0.500 0.000
0.000 0.000 0.000
0.750 0.250 0.500
0.250 0.750 0.500
```

LaTaCd2: optimized geometry, PBE.

* relative energy among the computed polymorphs: 0.53 eV per formula unit
* formation energy: 0.2732 eV per atom
* calculated total energy: -4.38 eV per atom
* symmetry: C2/m

The structure in POSCAR format:
```
LaTaCd2
1.0
5.873 0.007 0.074
5.024 3.043 0.074
1.038 0.291 5.292
Cd Ta La
2 1 1
direct
0.017 0.017 0.974
0.483 0.483 0.526
0.750 0.750 0.750
0.250 0.250 0.250
```